No. 1
A geometry-optimized TcIrPt2 structure. Source: Alexandria via LeMat-Bulk, functional PBE.

Structure (CIF):
```
data_TcIrPt2
_symmetry_space_group_name_H-M 'P 1'
_symmetry_Int_Tables_number 1
_symmetry_space_group_name_Hall 'P 1'
_cell_length_a 4.8089
_cell_length_b 4.8089
_cell_length_c 4.8096
_cell_angle_alpha 80.71
_cell_angle_beta 80.71
_cell_angle_gamma 33.19
loop_
_atom_site_label
_atom_site_type_symbol
_atom_site_fract_x
_atom_site_fract_y
_atom_site_fract_z
Pt1 Pt 0.0018 0.0018 0.9993
Pt2 Pt 0.2477 0.2477 0.2522
Tc1 Tc 0.4970 0.4970 0.5109
Ir1 Ir 0.7534 0.7534 0.7377
```

Summary:
* distance to the lowest polymorph of the same formula: 0.34 eV per formula unit
* energy of formation from the pure elements: -0.4 eV per formula unit
* magnetization: 0.0 μB/cell

***

No. 2
A geometry-optimized Tc2IrPt8 structure. Source: Alexandria via LeMat-Bulk, functional PBE.

Structure (CIF):
```
data_Tc2IrPt8
_symmetry_space_group_name_H-M 'P 1'
_symmetry_Int_Tables_number 1
_symmetry_space_group_name_Hall 'P 1'
_cell_length_a 3.9247
_cell_length_b 7.7846
_cell_length_c 7.2343
_cell_angle_alpha 122.55
_cell_angle_beta 105.74
_cell_angle_gamma 90.00
loop_
_atom_site_label
_atom_site_type_symbol
_atom_site_fract_x
_atom_site_fract_y
_atom_site_fract_z
Tc1 Tc 0.8306 0.3306 0.6612
Tc2 Tc 0.1694 0.6694 0.3388
Pt1 Pt 0.3406 0.1010 0.6813
Pt2 Pt 0.6593 0.4197 0.3187
Pt3 Pt 0.8300 0.8300 0.6600
Pt4 Pt 0.0000 0.2718 0.0000
Pt5 Pt 0.6594 0.8990 0.3187
Pt6 Pt 0.0000 0.7282 0.0000
Pt7 Pt 0.1700 0.1700 0.3400
Pt8 Pt 0.3407 0.5803 0.6813
Ir1 Ir 0.5000 0.0000 0.0000
```

Summary:
* energy of formation from the pure elements: 0.4 eV per formula unit
* magnetization: 0.0 μB/cell

***

No. 3
A geometry-optimized TcIr5Pt2 structure. Source: Alexandria via LeMat-Bulk, functional PBE.

Structure (CIF):
```
data_TcIr5Pt2
_symmetry_space_group_name_H-M 'P 1'
_symmetry_Int_Tables_number 1
_symmetry_space_group_name_Hall 'P 1'
_cell_length_a 3.8835
_cell_length_b 3.8835
_cell_length_c 8.3151
_cell_angle_alpha 103.50
_cell_angle_beta 103.50
_cell_angle_gamma 90.00
loop_
_atom_site_label
_atom_site_type_symbol
_atom_site_fract_x
_atom_site_fract_y
_atom_site_fract_z
Ir1 Ir 0.8810 0.3810 0.7619
Ir2 Ir 0.1190 0.6190 0.2381
Ir3 Ir 0.6190 0.1190 0.2381
Ir4 Ir 0.3810 0.8810 0.7619
Ir5 Ir 0.5000 0.5000 0.0000
Tc1 Tc 0.0000 0.0000 0.0000
Pt1 Pt 0.2525 0.2525 0.5049
Pt2 Pt 0.7475 0.7475 0.4951
```

Summary:
* energy of formation from the pure elements: -0.6 eV per formula unit
* magnetization: 0.0 μB/cell

***

No. 4
A geometry-optimized TcIrPt2 structure. Source: Alexandria via LeMat-Bulk, functional PBE.

Structure (CIF):
```
data_TcIrPt2
_symmetry_space_group_name_H-M 'P 1'
_symmetry_Int_Tables_number 1
_symmetry_space_group_name_Hall 'P 1'
_cell_length_a 4.7926
_cell_length_b 4.7926
_cell_length_c 4.8024
_cell_angle_alpha 80.48
_cell_angle_beta 80.48
_cell_angle_gamma 33.56
loop_
_atom_site_label
_atom_site_type_symbol
_atom_site_fract_x
_atom_site_fract_y
_atom_site_fract_z
Pt1 Pt 0.9992 0.9992 0.0040
Pt2 Pt 0.5008 0.5008 0.4960
Ir1 Ir 0.7500 0.7500 0.7500
Tc1 Tc 0.2500 0.2500 0.2500
```

Summary:
* distance to the lowest polymorph of the same formula: 0.55 eV per formula unit
* energy of formation from the pure elements: -0.1 eV per formula unit
* magnetization: 0.0 μB/cell

***

Which value of magnetization does entry 4 give? 0.0 μB/cell